Crystalline TbAl2Au3 at its relaxed geometry, computed with PBE.

Lattice parameters (Å, degrees): 6.5650 6.5650 5.6470 90.00 90.00 77.28
Sites, in units of the cell vectors:
Tb (0.1586, 0.8414, 0.7500)
Tb (0.8414, 0.1586, 0.2500)
Al (0.2854, 0.2854, 0.0000)
Al (0.2854, 0.2854, 0.5000)
Al (0.7146, 0.7146, 0.0000)
Al (0.7146, 0.7146, 0.5000)
Au (0.0406, 0.6482, 0.2500)
Au (0.3518, 0.9594, 0.2500)
Au (0.4766, 0.5234, 0.2500)
Au (0.5234, 0.4766, 0.7500)
Au (0.6482, 0.0406, 0.7500)
Au (0.9594, 0.3518, 0.7500)

Values from the calculation:
Excess energy over the best structure of this formula in the dataset, eV per formula unit: 0.13
Total DFT energy (no corrections), eV per cell: -51.108
Calculated formation energy, eV/atom: -0.601